# Hf2ZnCuPt2 PBE relaxed
data_Hf2ZnCuPt2
_chemical_formula_sum 'Hf8 Zn4 Cu4 Pt8'
_space_group_name_H-M_alt 'I b a m'
_space_group_IT_number 72
_space_group_name_Hall '-I 2 2c'
_cell_length_a 5.445
_cell_length_b 14.325
_cell_length_c 5.329
_cell_angle_alpha 90.00
_cell_angle_beta 90.00
_cell_angle_gamma 90.00
loop_
_atom_site_label
_atom_site_fract_x
_atom_site_fract_y
_atom_site_fract_z
Hf1 0.204 0.171 0.000
Zn1 0.000 0.500 0.250
Cu1 0.000 0.000 0.250
Pt1 0.212 0.361 0.000
# Magnetization = 0.00 μB/f.u.
# D(E_F) = 0.452 states/eV/atom
# DFT formation energy = -74.4 kJ per mole of atoms
# E_tot = -6.997 eV per atom
# Calculated volume = 415.7 Å³/cell

# Eu3Cd5Br12 PBE relaxed
data_Eu3Cd5Br12
_chemical_formula_sum 'Eu24 Cd40 Br96'
_space_group_name_H-M_alt 'I a -3 d'
_space_group_IT_number 230
_space_group_name_Hall '-I 4bd 2c 3'
_cell_length_a 17.955
_cell_length_b 17.955
_cell_length_c 17.955
_cell_angle_alpha 90.00
_cell_angle_beta 90.00
_cell_angle_gamma 90.00
loop_
_atom_site_label
_atom_site_fract_x
_atom_site_fract_y
_atom_site_fract_z
Eu1 0.000 0.250 0.125
Cd1 0.000 0.000 0.000
Cd2 0.000 0.250 0.375
Br1 0.026 0.069 0.663
# Formation energy without anion corrections = -1072 meV/atom
# Magnetization = 21.21 μB/f.u.
# E_tot = -3.846 eV per atom
# Calculated volume = 5788.6 Å³/cell

# Ca2H4IrAu2 PBE relaxed
data_Ca2H4IrAu2
_chemical_formula_sum 'Ca4 H8 Ir2 Au4'
_space_group_name_H-M_alt 'I 4/m m m'
_space_group_IT_number 139
_space_group_name_Hall '-I 4 2'
_cell_length_a 5.735
_cell_length_b 5.735
_cell_length_c 7.991
_cell_angle_alpha 90.00
_cell_angle_beta 90.00
_cell_angle_gamma 90.00
loop_
_atom_site_label
_atom_site_fract_x
_atom_site_fract_y
_atom_site_fract_z
Ca1 0.000 0.500 0.250
H1 0.210 0.210 0.000
Ir1 0.000 0.000 0.000
Au1 0.000 0.000 0.336
# Magnetization = 0.00 μB/f.u.
# D(E_F) = 0.217 states/eV/atom
# E_tot = -4.080 eV per atom
# Calculated volume = 262.8 Å³/cell

# Mg3TlPd2 PBE relaxed
data_Mg3TlPd2
_chemical_formula_sum 'Mg3 Tl1 Pd2'
_space_group_name_H-M_alt 'P 4/m m m'
_space_group_IT_number 123
_space_group_name_Hall '-P 4 2'
_cell_length_a 3.207
_cell_length_b 3.207
_cell_length_c 11.074
_cell_angle_alpha 90.00
_cell_angle_beta 90.00
_cell_angle_gamma 90.00
loop_
_atom_site_label
_atom_site_fract_x
_atom_site_fract_y
_atom_site_fract_z
Mg1 0.000 0.000 0.000
Mg2 0.000 0.000 0.284
Tl1 0.500 0.500 0.500
Pd1 0.500 0.500 0.146
# Magnetization = 0.00 μB/f.u.
# D(E_F) = 0.273 states/eV/atom
# DFT formation energy = -49.6 kJ per mole of atoms
# E_tot = -3.437 eV per atom
# Calculated volume = 113.9 Å³/cell

# Ba3Li2In9 PBE relaxed
data_Ba3Li2In9
_chemical_formula_sum 'Ba6 Li4 In18'
_space_group_name_H-M_alt 'I m m m'
_space_group_IT_number 71
_space_group_name_Hall '-I 2 2'
_cell_length_a 5.073
_cell_length_b 10.943
_cell_length_c 14.743
_cell_angle_alpha 90.00
_cell_angle_beta 90.00
_cell_angle_gamma 90.00
loop_
_atom_site_label
_atom_site_fract_x
_atom_site_fract_y
_atom_site_fract_z
Ba1 0.000 0.000 0.000
Ba2 0.000 0.000 0.303
Li1 0.000 0.190 0.500
In1 0.000 0.281 0.141
In2 0.000 0.362 0.343
In3 0.000 0.500 0.000
# Magnetization = 0.00 μB/f.u.
# D(E_F) = 0.369 states/eV/atom
# DFT formation energy = -38.7 kJ per mole of atoms
# E_tot = -2.847 eV per atom
# Calculated volume = 818.4 Å³/cell

# CrFeReGe PBE relaxed
data_CrFeReGe
_chemical_formula_sum 'Cr4 Fe4 Re4 Ge4'
_space_group_name_H-M_alt 'F -4 3 m'
_space_group_IT_number 216
_space_group_name_Hall 'F -4 2 3'
_cell_length_a 5.910
_cell_length_b 5.910
_cell_length_c 5.910
_cell_angle_alpha 90.00
_cell_angle_beta 90.00
_cell_angle_gamma 90.00
loop_
_atom_site_label
_atom_site_fract_x
_atom_site_fract_y
_atom_site_fract_z
Cr1 0.000 0.000 0.000
Fe1 0.250 0.250 0.250
Re1 0.250 0.250 0.750
Ge1 0.000 0.000 0.500
# Magnetization = 1.10 μB/f.u.
# D(E_F) = 1.323 states/eV/atom
# DFT formation energy = 10.0 kJ per mole of atoms
# E_tot = -8.684 eV per atom
# Calculated volume = 206.4 Å³/cell

# Sc2PdBr PBE relaxed
data_Sc2PdBr
_chemical_formula_sum 'Sc8 Pd4 Br4'
_space_group_name_H-M_alt 'I -4 2 d'
_space_group_IT_number 122
_space_group_name_Hall 'I -4 2bw'
_cell_length_a 7.124
_cell_length_b 7.124
_cell_length_c 7.212
_cell_angle_alpha 90.00
_cell_angle_beta 90.00
_cell_angle_gamma 90.00
loop_
_atom_site_label
_atom_site_fract_x
_atom_site_fract_y
_atom_site_fract_z
Sc1 0.235 0.750 0.125
Pd1 0.000 0.000 0.000
Br1 0.000 0.000 0.500
# Formation energy without anion corrections = -524 meV/atom
# Polymorph energy (0 for the lowest one) = 277 meV per atom
# Magnetization = 0.00 μB/f.u.
# D(E_F) = 0.464 states/eV/atom
# E_tot = -5.406 eV per atom
# Calculated volume = 366.0 Å³/cell

# PrSm3Dy6Ho2 PBE relaxed
data_PrSm3Dy6Ho2
_chemical_formula_sum 'Pr2 Sm6 Dy12 Ho4'
_space_group_name_H-M_alt 'C 1 2/m 1'
_space_group_IT_number 12
_cell_length_a 6.193
_cell_length_b 10.720
_cell_length_c 11.834
_cell_angle_alpha 90.00
_cell_angle_beta 100.00
_cell_angle_gamma 90.00
loop_
_space_group_symop_operation_xyz
'x,y,z'
'-x,-y,-z'
'-x,y,-z'
'x,-y,z'
'x+1/2,y+1/2,z'
'-x+1/2,-y+1/2,-z'
'-x+1/2,y+1/2,-z'
'x+1/2,-y+1/2,z'
loop_
_atom_site_label
_atom_site_fract_x
_atom_site_fract_y
_atom_site_fract_z
Pr1 0.000 0.000 0.000
Sm1 0.000 0.167 0.500
Sm2 0.000 0.500 0.500
Dy1 0.249 0.333 0.751
Dy2 0.249 0.500 0.249
Ho1 0.000 0.333 0.000
# Magnetization = 0.00 μB/f.u.
# D(E_F) = 1.254 states/eV/atom
# DFT formation energy = 1.5 kJ per mole of atoms
# E_tot = -4.626 eV per atom
# Calculated volume = 773.7 Å³/cell

# BeAgCl2 PBE relaxed
data_BeAgCl2
_chemical_formula_sum 'Be2 Ag2 Cl4'
_space_group_name_H-M_alt 'C m m 2'
_space_group_IT_number 35
_cell_length_a 3.062
_cell_length_b 7.560
_cell_length_c 8.704
_cell_angle_alpha 90.00
_cell_angle_beta 90.00
_cell_angle_gamma 90.00
loop_
_space_group_symop_operation_xyz
'x,y,z'
'-x,-y,z'
'-x,y,z'
'x,-y,z'
'x+1/2,y+1/2,z'
'-x+1/2,-y+1/2,z'
'-x+1/2,y+1/2,z'
'x+1/2,-y+1/2,z'
loop_
_atom_site_label
_atom_site_fract_x
_atom_site_fract_y
_atom_site_fract_z
Be1 0.000 0.000 0.000
Ag1 0.000 0.500 0.224
Cl1 0.000 0.000 0.452
Cl2 0.000 0.500 0.849
# Formation energy without anion corrections = -313 meV/atom
# Polymorph energy (0 for the lowest one) = 329 meV per atom
# Magnetization = 0.00 μB/f.u.
# D(E_F) = 0.307 states/eV/atom
# E_tot = -2.881 eV per atom
# Calculated volume = 201.5 Å³/cell

# Nd3In2Hg7 PBE relaxed
data_Nd3In2Hg7
_chemical_formula_sum 'Nd6 In4 Hg14'
_space_group_name_H-M_alt 'C m m m'
_space_group_IT_number 65
_space_group_name_Hall '-C 2 2'
_cell_length_a 4.782
_cell_length_b 30.218
_cell_length_c 4.681
_cell_angle_alpha 90.00
_cell_angle_beta 90.00
_cell_angle_gamma 90.00
loop_
_atom_site_label
_atom_site_fract_x
_atom_site_fract_y
_atom_site_fract_z
Nd1 0.000 0.000 0.000
Nd2 0.000 0.154 0.000
In1 0.000 0.348 0.500
Hg1 0.000 0.076 0.500
Hg2 0.000 0.224 0.500
Hg3 0.000 0.421 0.000
Hg4 0.000 0.500 0.500
# Magnetization = 0.00 μB/f.u.
# D(E_F) = 0.751 states/eV/atom
# DFT formation energy = -25.5 kJ per mole of atoms
# E_tot = -2.088 eV per atom
# Calculated volume = 676.3 Å³/cell

# K3In3SnSe8 PBE relaxed
data_K3In3SnSe8
_chemical_formula_sum 'K6 In6 Sn2 Se16'
_space_group_name_H-M_alt 'C 1 2/m 1'
_space_group_IT_number 12
_cell_length_a 13.986
_cell_length_b 8.084
_cell_length_c 9.151
_cell_angle_alpha 90.00
_cell_angle_beta 120.58
_cell_angle_gamma 90.00
loop_
_space_group_symop_operation_xyz
'x,y,z'
'-x,-y,-z'
'-x,y,-z'
'x,-y,z'
'x+1/2,y+1/2,z'
'-x+1/2,-y+1/2,-z'
'-x+1/2,y+1/2,-z'
'x+1/2,-y+1/2,z'
loop_
_atom_site_label
_atom_site_fract_x
_atom_site_fract_y
_atom_site_fract_z
K1 0.000 0.000 0.000
K2 0.250 0.250 0.000
In1 0.000 0.500 0.500
In2 0.250 0.250 0.500
Sn1 0.000 0.000 0.500
Se1 0.017 0.246 0.305
Se2 0.229 0.000 0.695
Se3 0.232 0.500 0.695
# Formation energy without anion corrections = -764 meV/atom
# Magnetization = 0.00 μB/f.u.
# E_tot = -3.657 eV per atom
# Calculated volume = 890.7 Å³/cell

# HfTlAu PBE relaxed
data_HfTlAu
_chemical_formula_sum 'Hf2 Tl2 Au2'
_space_group_name_H-M_alt 'P -1'
_space_group_IT_number 2
_cell_length_a 3.242
_cell_length_b 4.559
_cell_length_c 9.931
_cell_angle_alpha 102.96
_cell_angle_beta 99.30
_cell_angle_gamma 90.13
loop_
_space_group_symop_operation_xyz
'x,y,z'
'-x,-y,-z'
loop_
_atom_site_label
_atom_site_fract_x
_atom_site_fract_y
_atom_site_fract_z
Hf1 0.083 0.325 0.165
Tl1 0.297 0.264 0.593
Au1 0.453 0.205 0.907
# Magnetization = 0.00 μB/f.u.
# D(E_F) = 0.734 states/eV/atom
# DFT formation energy = -9.2 kJ per mole of atoms
# E_tot = -5.294 eV per atom
# Calculated volume = 141.0 Å³/cell